PuNpW: optimized geometry, PBE.

Values from the calculation:
* ΔE to the lowest computed polymorph: 0 meV/atom
* SG: F-43m
* energy relative to the elements: 0.695 eV/atom
* E: -151.083 eV for the cell shown

POSCAR file:
```
PuNpW
1.0
6.148 0.000 0.000
0.000 6.148 0.000
0.000 0.000 6.148
Pu Np W
4 4 4
Direct
0.000 0.000 0.000
0.000 0.500 0.500
0.500 0.000 0.500
0.500 0.500 0.000
0.250 0.250 0.750
0.250 0.750 0.250
0.750 0.250 0.250
0.750 0.750 0.750
0.250 0.250 0.250
0.250 0.750 0.750
0.750 0.250 0.750
0.750 0.750 0.250
```

***

RbNp2S4: optimized geometry, PBE.

Values from the calculation:
* SG: Cmcm
* E: -105.639 eV for the cell shown

POSCAR file:
```
RbNp2S4
1.0
2.017 -6.643 0.000
2.017 6.643 0.000
0.000 0.000 13.770
Rb Np S
2 4 8
Direct
0.108 0.892 0.750
0.892 0.108 0.250
0.367 0.633 0.565
0.367 0.633 0.935
0.633 0.367 0.065
0.633 0.367 0.435
0.000 0.000 0.000
0.000 0.000 0.500
0.261 0.739 0.103
0.261 0.739 0.397
0.415 0.585 0.750
0.585 0.415 0.250
0.739 0.261 0.603
0.739 0.261 0.897
```

***

The calculation returns the following magnetization values, one per record and in order: 2.586 7.006 μB/f.u..